Entry 1:
This record from the Alexandria database describes a relaxed structure of LaRe2Te. The functional is PBE.

**Formation energy (no corrections)**: 0.44 eV/atom
**ρ**: 10.54 g/cm³
**Electronic total energy**: -0.2867 Ha/atom

Cell: 4.101 4.517 5.437 Å, 90.00 90.00 90.00°
Space group Pmmm (No. 47)
One atom of each set of equivalent atoms:
1 La 0.000 0.000 0.000
2 Re 0.500 0.500 0.211
3 Te 0.500 0.000 0.500

---

Entry 2:
This record from the Alexandria database describes a relaxed structure of LiScPt2. The functional is PBE.

**Offset from the most stable computed form**: 95 meV per atom
**ρ**: 11.57 g/cm³
**Electronic total energy**: -0.2201 Ha/atom
**ΔE_f**: -0.907 eV per atom

Cell: 3.878 3.878 8.437 Å, 90.00 90.00 90.00°
Space group I-4m2 (No. 119)
One atom of each set of equivalent atoms:
1 Li 0.000 0.000 0.000
2 Sc 0.000 0.500 0.250
3 Pt 0.000 0.000 0.500
4 Pt 0.000 0.500 0.750